Computed, not measured: an optimized crystal structure of Ac2VSiO6 at the PBE with a Hubbard U level of DFT.

Lattice parameters (Å, degrees): 5.4894 5.4894 4.1959 90.00 90.00 90.00
With the nearest neighbours (Å) after each atom.
Atoms (fractional coordinates):
Ac 0.0000 0.5000 0.0000  8 O 2.68-2.77
Ac 0.5000 0.0000 0.0000  8 O 2.68-2.77
V 0.0000 0.0000 0.5302  6 O 2.09-2.14
Si 0.5000 0.5000 0.4929  5 O 1.71-1.76
O 0.0000 0.0000 0.0321  2 V 2.09-2.11
O 0.2757 0.2757 0.5608  1 Si 1.76
O 0.2757 0.7243 0.5608  1 Si 1.76
O 0.5000 0.5000 0.0865  1 Si 1.71
O 0.7243 0.2757 0.5608  1 Si 1.76
O 0.7243 0.7243 0.5608  1 Si 1.76

crystal system = tetragonal
energy = -7.9523 eV per atom
space-group type = P4mm